1.
{"formula": "Re2RuCl", "functional": "GGA-PBEsol", "state": "optimized geometry", "cell": [[4.711, -1.401, 0.000], [4.711, 1.401, 0.000], [-0.045, 0.000, 4.440]], "species": ["Re", "Re", "Ru", "Cl"], "frac_coords": [[0.000, 0.000, 0.000], [0.709, 0.709, 0.740], [0.275, 0.275, 0.208], [0.499, 0.499, 0.429]]}


2.
{"formula": "Re2RuCl", "functional": "GGA-PBEsol", "state": "optimized geometry", "cell": [[0.000, 3.070, 3.070], [3.070, 0.000, 3.070], [3.070, 3.070, 0.000]], "species": ["Re", "Re", "Ru", "Cl"], "frac_coords": [[0.000, 0.000, 0.000], [0.250, 0.250, 0.250], [0.750, 0.750, 0.750], [0.500, 0.500, 0.500]]}


It is 1 that is most stable; the runner-up trails by 344 meV per atom.


1.
{"formula": "ReSe2Cl", "functional": "GGA-PBEsol", "state": "optimized geometry", "cell": [[2.619, 0.000, 0.000], [0.000, 3.266, 0.000], [-0.038, 0.000, 8.967]], "species": ["Re", "Se", "Se", "Cl"], "frac_coords": [[0.000, 0.000, 0.000], [0.002, 0.500, 0.214], [0.998, 0.500, 0.786], [0.500, 0.000, 0.500]]}


2.
{"formula": "ReSe2Cl", "functional": "GGA-PBEsol", "state": "optimized geometry", "cell": [[3.192, 0.000, 0.000], [0.000, 4.366, 0.000], [0.000, 0.000, 4.705]], "species": ["Re", "Se", "Se", "Cl"], "frac_coords": [[0.000, 0.000, 0.000], [0.000, 0.500, 0.500], [0.500, 0.000, 0.500], [0.500, 0.500, 0.000]]}


3.
{"formula": "ReSe2Cl", "functional": "GGA-PBEsol", "state": "optimized geometry", "cell": [[2.918, 0.000, 0.000], [0.000, 2.918, 0.000], [0.000, 0.000, 9.073]], "species": ["Re", "Se", "Se", "Cl"], "frac_coords": [[0.000, 0.000, 0.000], [0.000, 0.000, 0.487], [0.500, 0.500, 0.166], [0.500, 0.500, 0.820]]}


4.
{"formula": "ReSe2Cl", "functional": "GGA-PBEsol", "state": "optimized geometry", "cell": [[-3.293, 3.293, 4.730], [3.293, -3.293, 4.730], [3.293, 3.293, -4.730]], "species": ["Re", "Re", "Se", "Se", "Se", "Se", "Cl", "Cl"], "frac_coords": [[0.000, 0.000, 0.000], [0.750, 0.250, 0.500], [0.049, 0.625, 0.924], [0.375, 0.299, 0.424], [0.701, 0.125, 0.076], [0.875, 0.951, 0.576], [0.250, 0.750, 0.500], [0.500, 0.500, 0.000]]}


It is 1 that is most stable; the runner-up trails by 101 meV per atom.


1.
{"formula": "ReSiCl2", "functional": "GGA-PBEsol", "state": "optimized geometry", "cell": [[0.000, 3.128, 3.128], [3.128, 0.000, 3.128], [3.128, 3.128, 0.000]], "species": ["Re", "Si", "Cl", "Cl"], "frac_coords": [[0.000, 0.000, 0.000], [0.750, 0.750, 0.750], [0.250, 0.250, 0.250], [0.500, 0.500, 0.500]]}


2.
{"formula": "ReSiCl2", "functional": "GGA-PBEsol", "state": "optimized geometry", "cell": [[1.449, 0.837, 9.008], [-1.449, 0.837, 9.008], [0.000, -1.674, 9.008]], "species": ["Re", "Si", "Cl", "Cl"], "frac_coords": [[0.000, 0.000, 0.000], [0.500, 0.500, 0.500], [0.083, 0.083, 0.083], [0.917, 0.917, 0.917]]}


It is 2 that is most stable; the runner-up trails by 618 meV per atom.


1.
{"formula": "ReSi2Cl", "functional": "GGA-PBEsol", "state": "optimized geometry", "cell": [[4.448, -1.472, 0.000], [4.448, 1.472, 0.000], [-0.517, 0.000, 4.486]], "species": ["Re", "Si", "Si", "Cl"], "frac_coords": [[0.000, 0.000, 0.000], [0.276, 0.276, 0.781], [0.724, 0.724, 0.219], [0.500, 0.500, 0.500]]}


2.
{"formula": "ReSi2Cl", "functional": "GGA-PBEsol", "state": "optimized geometry", "cell": [[2.676, -3.647, 0.000], [2.676, 3.647, 0.000], [0.000, 0.000, 2.899]], "species": ["Re", "Si", "Si", "Cl"], "frac_coords": [[0.000, 0.000, 0.000], [0.000, 0.500, 0.500], [0.500, 0.000, 0.500], [0.500, 0.500, 0.000]]}


It is 1 that is most stable; the runner-up trails by 32 meV per atom.


1.
{"formula": "Sr2ReCl", "functional": "GGA-PBEsol", "state": "optimized geometry", "cell": [[5.563, 0.000, 0.000], [0.000, 5.563, 0.000], [0.000, 0.000, 3.102]], "species": ["Sr", "Sr", "Re", "Cl"], "frac_coords": [[0.000, 0.500, 0.000], [0.500, 0.000, 0.000], [0.000, 0.000, 0.500], [0.500, 0.500, 0.500]]}


2.
{"formula": "Sr2ReCl", "functional": "GGA-PBEsol", "state": "optimized geometry", "cell": [[4.299, 0.000, 0.000], [0.000, 4.299, 0.000], [0.000, 0.000, 6.005]], "species": ["Sr", "Sr", "Re", "Cl"], "frac_coords": [[0.000, 0.000, 0.000], [0.500, 0.500, 0.500], [0.000, 0.000, 0.500], [0.500, 0.500, 0.000]]}


3.
{"formula": "Sr2ReCl", "functional": "GGA-PBEsol", "state": "optimized geometry", "cell": [[-1.561, 2.658, 5.669], [1.561, -2.658, 5.669], [1.561, 2.658, -5.669]], "species": ["Sr", "Sr", "Re", "Cl"], "frac_coords": [[0.000, 0.000, 0.000], [0.690, 0.190, 0.500], [0.432, 0.432, 0.000], [0.241, 0.741, 0.500]]}


It is 1 that is most stable; the runner-up trails by 147 meV per atom.


1.
{"formula": "Ta2ReCl", "functional": "GGA-PBEsol", "state": "optimized geometry", "cell": [[3.073, 0.000, 0.000], [0.000, 4.379, 0.000], [0.000, 0.000, 4.819]], "species": ["Ta", "Ta", "Re", "Cl"], "frac_coords": [[0.000, 0.000, 0.000], [0.500, 0.000, 0.500], [0.000, 0.500, 0.500], [0.500, 0.500, 0.000]]}


2.
{"formula": "Ta2ReCl", "functional": "GGA-PBEsol", "state": "optimized geometry", "cell": [[-1.853, 1.853, 4.749], [1.853, -1.853, 4.749], [1.853, 1.853, -4.749]], "species": ["Ta", "Ta", "Re", "Cl"], "frac_coords": [[0.000, 0.000, 0.000], [0.750, 0.250, 0.500], [0.250, 0.750, 0.500], [0.500, 0.500, 0.000]]}


It is 1 that is most stable; the runner-up trails by 48 meV per atom.


1.
{"formula": "ReTc2Cl", "functional": "GGA-PBEsol", "state": "optimized geometry", "cell": [[2.834, 0.000, 0.000], [0.000, 4.429, 0.000], [0.000, 0.000, 4.501]], "species": ["Re", "Tc", "Tc", "Cl"], "frac_coords": [[0.000, 0.000, 0.000], [0.000, 0.500, 0.500], [0.500, 0.500, 0.000], [0.500, 0.000, 0.500]]}


2.
{"formula": "ReTc2Cl", "functional": "GGA-PBEsol", "state": "optimized geometry", "cell": [[-1.845, 1.845, 4.223], [1.845, -1.845, 4.223], [1.845, 1.845, -4.223]], "species": ["Re", "Tc", "Tc", "Cl"], "frac_coords": [[0.000, 0.000, 0.000], [0.500, 0.500, 0.000], [0.750, 0.250, 0.500], [0.250, 0.750, 0.500]]}


It is 1 that is most stable; the runner-up trails by 261 meV per atom.


1.
{"formula": "Re2TeCl", "functional": "GGA-PBEsol", "state": "optimized geometry", "cell": [[1.450, -2.544, 0.000], [1.450, 2.544, 0.000], [0.000, 0.000, 9.193]], "species": ["Re", "Re", "Te", "Cl"], "frac_coords": [[0.000, 0.000, 0.234], [0.000, 0.000, 0.766], [0.500, 0.500, 0.500], [0.500, 0.500, 0.000]]}


2.
{"formula": "Re2TeCl", "functional": "GGA-PBEsol", "state": "optimized geometry", "cell": [[2.938, 0.000, 0.000], [0.000, 4.453, 0.000], [0.000, 0.000, 5.173]], "species": ["Re", "Re", "Te", "Cl"], "frac_coords": [[0.000, 0.000, 0.000], [0.500, 0.000, 0.500], [0.000, 0.500, 0.500], [0.500, 0.500, 0.000]]}


3.
{"formula": "Re2TeCl", "functional": "GGA-PBEsol", "state": "optimized geometry", "cell": [[4.138, -1.510, 0.000], [4.138, 1.510, 0.000], [-1.107, 0.000, 5.230]], "species": ["Re", "Re", "Te", "Cl"], "frac_coords": [[0.250, 0.250, 0.217], [0.750, 0.750, 0.783], [0.000, 0.000, 0.500], [0.500, 0.500, 0.000]]}


It is 3 that is most stable; the runner-up trails by 365 meV per atom.


1.
{"formula": "Rh3Cl", "functional": "GGA-PBEsol", "state": "optimized geometry", "cell": [[4.177, 2.412, 0.939], [-4.177, 2.412, 0.939], [0.000, -4.824, 0.939]], "species": ["Rh", "Rh", "Rh", "Cl"], "frac_coords": [[0.000, 0.500, 0.500], [0.500, 0.000, 0.500], [0.500, 0.500, 0.000], [0.000, 0.000, 0.000]]}


2.
{"formula": "Rh3Cl", "functional": "GGA-PBEsol", "state": "optimized geometry", "cell": [[2.744, 0.000, 0.000], [0.000, 4.363, 0.000], [0.000, 0.000, 4.698]], "species": ["Rh", "Rh", "Rh", "Cl"], "frac_coords": [[0.000, 0.000, 0.000], [0.000, 0.500, 0.391], [0.500, 0.500, 0.892], [0.500, 0.000, 0.453]]}


3.
{"formula": "Rh3Cl", "functional": "GGA-PBEsol", "state": "optimized geometry", "cell": [[4.295, -1.382, 0.000], [4.295, 1.382, 0.000], [-1.207, 0.000, 4.720]], "species": ["Rh", "Rh", "Rh", "Cl"], "frac_coords": [[0.000, 0.000, 0.000], [0.241, 0.241, 0.754], [0.759, 0.759, 0.246], [0.500, 0.500, 0.500]]}


4.
{"formula": "Rh3Cl", "functional": "GGA-PBEsol", "state": "optimized geometry", "cell": [[3.835, 0.000, 0.000], [0.000, 3.835, 0.000], [0.000, 0.000, 3.835]], "species": ["Rh", "Rh", "Rh", "Cl"], "frac_coords": [[0.000, 0.000, 0.500], [0.000, 0.500, 0.000], [0.500, 0.000, 0.000], [0.500, 0.500, 0.500]]}


It is 3 that is most stable; the runner-up trails by 48 meV per atom.


1.
{"formula": "SbRhCl2", "functional": "GGA-PBEsol", "state": "optimized geometry", "cell": [[4.225, 0.000, 0.000], [0.000, 4.225, 0.000], [0.000, 0.000, 4.178]], "species": ["Sb", "Rh", "Cl", "Cl"], "frac_coords": [[0.000, 0.000, 0.000], [0.500, 0.500, 0.000], [0.000, 0.500, 0.500], [0.500, 0.000, 0.500]]}


2.
{"formula": "SbRhCl2", "functional": "GGA-PBEsol", "state": "optimized geometry", "cell": [[3.093, 0.000, 0.000], [0.000, 4.460, 0.000], [0.000, 0.000, 5.258]], "species": ["Sb", "Rh", "Cl", "Cl"], "frac_coords": [[0.000, 0.000, 0.000], [0.500, 0.000, 0.500], [0.000, 0.500, 0.500], [0.500, 0.500, 0.000]]}


It is 2 that is most stable; the runner-up trails by 252 meV per atom.


1.
{"formula": "SbRh2Cl", "functional": "GGA-PBEsol", "state": "optimized geometry", "cell": [[3.151, 0.000, 0.000], [0.000, 3.151, 0.000], [0.000, 0.000, 7.298]], "species": ["Sb", "Rh", "Rh", "Cl"], "frac_coords": [[0.000, 0.000, 0.000], [0.000, 0.000, 0.591], [0.500, 0.500, 0.784], [0.500, 0.500, 0.380]]}


2.
{"formula": "SbRh2Cl", "functional": "GGA-PBEsol", "state": "optimized geometry", "cell": [[4.882, -1.571, 0.000], [4.882, 1.571, 0.000], [-0.517, 0.000, 4.307]], "species": ["Sb", "Rh", "Rh", "Cl"], "frac_coords": [[0.000, 0.000, 0.000], [0.460, 0.460, 0.477], [0.721, 0.721, 0.170], [0.239, 0.239, 0.627]]}


It is 2 that is most stable; the runner-up trails by 20 meV per atom.


1.
{"formula": "SbRhCl", "functional": "GGA-PBEsol", "state": "optimized geometry", "cell": [[0.000, 3.209, 3.209], [3.209, 0.000, 3.209], [3.209, 3.209, 0.000]], "species": ["Sb", "Rh", "Cl"], "frac_coords": [[0.000, 0.000, 0.000], [0.250, 0.250, 0.250], [0.750, 0.750, 0.750]]}


2.
{"formula": "SbRhCl", "functional": "GGA-PBEsol", "state": "optimized geometry", "cell": [[0.000, 3.124, 3.124], [3.124, 0.000, 3.124], [3.124, 3.124, 0.000]], "species": ["Sb", "Rh", "Cl"], "frac_coords": [[0.000, 0.000, 0.000], [0.500, 0.500, 0.500], [0.750, 0.750, 0.750]]}


It is 1 that is most stable; the runner-up trails by 358 meV per atom.